# 1
Entry from Alexandria: CsCeNpO6 after structural relaxation (PBE).

POSCAR file:
```
CsCeNpO6
1.0
-7.0773 3.0372 1.7657
-1.4399 -6.2887 5.0458
6.5536 4.5058 0.8387
Cs Ce Np O
2 2 2 12
Direct
0.8730 0.6230 0.7461
0.1270 0.3770 0.2539
0.5000 0.0000 0.5000
0.0000 0.0000 0.5000
0.5000 0.5000 0.0000
0.5000 0.0000 0.0000
0.4529 0.7029 0.9059
0.8227 0.0727 0.6454
0.7980 0.0799 0.2407
0.4427 0.6608 0.2407
0.4427 0.0799 0.2407
0.7980 0.6608 0.2407
0.5471 0.2971 0.0941
0.1773 0.9273 0.3546
0.2020 0.9201 0.7593
0.5573 0.3392 0.7593
0.5573 0.9201 0.7593
0.2020 0.3392 0.7593
```

Theoretical density (g/cm³): 5.53
Magnetic moment (μB per cell): 0.000
E_form (uncorrected) (eV/atom): -2.74
Energy (eV/atom): -8.235


# 2
Entry from Alexandria: CsCe2NpO8 after structural relaxation (PBE).

POSCAR file:
```
CsCe2NpO8
1.0
-4.1392 -0.4892 3.4040
3.1264 -2.4079 3.4535
1.5653 6.8678 3.1964
Cs Ce Np O
1 2 1 8
Direct
0.0000 0.0000 0.5000
0.5025 0.4990 0.7682
0.4975 0.5010 0.2318
0.0000 0.0000 0.0000
0.1609 0.8016 0.1715
0.6778 0.7052 0.9995
0.8392 0.2077 0.1810
0.8391 0.1984 0.8285
0.3222 0.2948 0.0005
0.1608 0.7923 0.8190
0.5785 0.7089 0.4306
0.4215 0.2911 0.5694
```

Theoretical density (g/cm³): 5.92
Magnetic moment (μB per cell): 0.000
E_form (uncorrected) (eV/atom): -2.70
Energy (eV/atom): -8.140


# 3
Entry from Alexandria: Cs2CeNp2Se6 after structural relaxation (PBE).

POSCAR file:
```
Cs2CeNp2Se6
1.0
7.3936 -0.0355 0.0738
-3.6852 6.4098 0.0738
-1.3082 -2.2487 8.5067
Cs Ce Np Se
2 1 2 6
Direct
0.8344 0.1656 0.0000
0.1656 0.8344 0.0000
0.0000 0.0000 0.5000
0.3338 0.6662 0.5000
0.6662 0.3338 0.5000
0.7200 0.7200 0.6815
0.0583 0.3992 0.6808
0.2800 0.2800 0.3185
0.3992 0.0583 0.6808
0.9417 0.6008 0.3192
0.6008 0.9417 0.3192
```

Density of states at the Fermi level (states/eV/atom): 2.351
Theoretical density (g/cm³): 5.56
Magnetic moment (μB per cell): 8.000
E_form (uncorrected) (eV/atom): -1.39
Energy (eV/atom): -6.343


# 4
Entry from Alexandria: Cs3CeNp2Se6 after structural relaxation (PBE).

POSCAR file:
```
Cs3CeNp2Se6
1.0
7.5577 -0.0011 0.0004
-3.7779 6.5457 0.0004
-1.2603 -2.1821 8.3847
Cs Ce Np Se
3 1 2 6
Direct
0.1655 0.8345 0.5000
0.8345 0.1655 0.5000
0.5000 0.5000 0.5000
0.0000 0.0000 0.0000
0.3332 0.6668 0.0000
0.6668 0.3332 0.0000
0.9378 0.5998 0.8134
0.7239 0.7239 0.1859
0.0622 0.4002 0.1866
0.5998 0.9378 0.8134
0.2761 0.2761 0.8141
0.4002 0.0622 0.1866
```

Density of states at the Fermi level (states/eV/atom): 2.266
Theoretical density (g/cm³): 5.95
Magnetic moment (μB per cell): 9.000
E_form (uncorrected) (eV/atom): -1.37
Energy (eV/atom): -5.979


# 5
Entry from Alexandria: CsCeO after structural relaxation (PBE).

POSCAR file:
```
CsCeO
1.0
4.3139 0.0000 0.0000
0.0000 4.1955 0.9998
0.0000 0.7571 15.0894
Cs O Ce
2 2 2
Direct
0.7500 0.5825 0.1616
0.2500 0.4175 0.8384
0.2500 0.2500 0.5000
0.7500 0.7500 0.5000
0.7500 0.1852 0.5662
0.2500 0.8148 0.4338
```

Density of states at the Fermi level (states/eV/atom): 2.394
Theoretical density (g/cm³): 3.56
Magnetic moment (μB per cell): 1.607
E_form (uncorrected) (eV/atom): -1.65
Energy (eV/atom): -5.564


# 6
Entry from Alexandria: Cs2CeO3 after structural relaxation (PBE).

POSCAR file:
```
Cs2CeO3
1.0
-3.8172 -3.9056 4.4190
5.9841 2.3277 2.8505
-3.0979 5.3984 2.0952
Cs O Ce
4 6 2
Direct
0.8050 0.4757 0.2701
0.5243 0.1950 0.7701
0.1950 0.5243 0.7701
0.4757 0.8050 0.2701
0.8968 0.1352 0.4917
0.8648 0.1032 0.9917
0.6497 0.6497 0.6758
0.3503 0.3503 0.1758
0.1032 0.8648 0.9917
0.1352 0.8968 0.4917
0.0902 0.0902 0.2327
0.9098 0.9098 0.7327
```

Density of states at the Fermi level (states/eV/atom): 0.000
Theoretical density (g/cm³): 5.06
Magnetic moment (μB per cell): 0.000
E_form (uncorrected) (eV/atom): -2.34
Energy (eV/atom): -6.091


# 7
Entry from Alexandria: Cs2Ce2O5 after structural relaxation (PBE).

POSCAR file:
```
Cs2Ce2O5
1.0
-4.7041 4.7941 -0.1332
-4.7134 -4.6756 -1.8236
0.8560 1.0637 8.0572
Cs Ce O
4 4 10
Direct
0.0000 0.2037 0.4073
0.5000 0.7037 0.4073
0.0000 0.7963 0.5927
0.5000 0.2963 0.5927
0.6521 0.8027 0.0000
0.3479 0.1973 0.0000
0.1521 0.6973 0.0000
0.8479 0.3027 0.0000
0.0000 0.0000 0.0000
0.5000 0.5000 0.0000
0.8577 0.7531 0.1850
0.1423 0.4319 0.1850
0.3577 0.9319 0.1850
0.6423 0.2531 0.1850
0.1423 0.2469 0.8150
0.8577 0.5681 0.8150
0.6423 0.0681 0.8150
0.3577 0.7469 0.8150
```

Density of states at the Fermi level (states/eV/atom): 0.000
Theoretical density (g/cm³): 6.07
Magnetic moment (μB per cell): 0.000
E_form (uncorrected) (eV/atom): -2.59
Energy (eV/atom): -6.856


# 8
Entry from Alexandria: Cs5CeO5 after structural relaxation (PBE).

POSCAR file:
```
Cs5CeO5
1.0
5.8261 0.0000 0.0000
-2.9130 6.4971 0.0304
0.0000 -2.3957 7.7999
Cs Ce O
5 1 5
Direct
0.6788 0.3576 0.3050
0.6707 0.3413 0.8368
0.0000 0.0000 0.5000
0.3293 0.6587 0.1632
0.3212 0.6424 0.6950
0.0000 0.0000 0.0000
0.8757 0.7515 0.1268
0.8769 0.7539 0.7472
0.5000 0.0000 0.0000
0.1231 0.2461 0.2528
0.1243 0.2485 0.8732
```

Density of states at the Fermi level (states/eV/atom): 0.622
Theoretical density (g/cm³): 4.97
Magnetic moment (μB per cell): 1.097
E_form (uncorrected) (eV/atom): -1.63
Energy (eV/atom): -4.814


Question: Which of these has the lowest E_form (uncorrected)?
Answer: CsCeNpO6